1.
An optimized crystal structure of RbTl2InRh, computed with PBE-GGA.

```
RbTl2InRh
1.0
5.3994 0.0000 0.0000
0.0000 5.3994 0.0000
0.0000 0.0000 5.2745
Tl In Rh Rb
2 1 1 1
direct
0.0000 0.5000 0.0000
0.5000 0.0000 0.0000
0.0000 0.0000 0.5000
0.0000 0.0000 0.0000
0.5000 0.5000 0.5000
```

Values from the calculation:
calculated volume: 30.754 Å³ per atom
DOS at the Fermi energy: 0.6838 states/eV/atom
DFT formation energy: -104 meV/atom

---

2.
An optimized crystal structure of NiPS2Cl, computed with PBE-GGA.

```
NiPS2Cl
1.0
4.2965 0.0000 0.0000
0.0000 4.2965 0.0000
0.0000 0.0000 4.9545
Cl Ni S P
1 1 2 1
direct
0.5000 0.5000 0.5000
0.0000 0.0000 0.0000
0.5000 0.0000 0.0000
0.0000 0.5000 0.0000
0.0000 0.0000 0.5000
```

Values from the calculation:
energy above the most stable polymorph in this dataset: 0.048 eV per atom
formation energy from raw total energies: 0.630 eV per atom
calculated volume: 18.292 Å³ per atom
DOS at the Fermi energy: 1.2803 states/eV/atom

---

3.
An optimized crystal structure of DyPa3N6, computed with PBE-GGA.

```
DyPa3N6
1.0
3.6777 0.0000 0.0000
0.0000 6.8286 -0.1139
0.0000 -2.2556 6.4463
N Dy Pa
6 1 3
direct
0.5000 0.3505 0.6495
0.0000 0.3322 0.0727
0.0000 0.6678 0.9273
0.0000 0.9273 0.6678
0.5000 0.6495 0.3505
0.0000 0.0727 0.3322
0.0000 0.5000 0.5000
0.5000 0.0000 0.5000
0.5000 0.5000 0.0000
0.0000 0.0000 0.0000
```

Values from the calculation:
energy above the most stable polymorph in this dataset: 0.213 eV per atom
formation energy from raw total energies: -1.440 eV per atom
calculated volume: 16.094 Å³ per atom
DOS at the Fermi energy: 0.5099 states/eV/atom

---

4.
An optimized crystal structure of La4Pr6Y, computed with PBE-GGA.

```
La4Pr6Y
1.0
6.8546 0.0000 0.0000
0.0000 6.8546 0.0000
-3.4273 -3.4273 8.5334
Pr Y La
6 1 4
direct
0.1349 0.1349 0.6362
0.0000 0.5000 0.0000
0.4987 0.8651 0.3638
0.5000 0.0000 0.0000
0.5013 0.5013 0.6362
0.8651 0.4987 0.3638
0.5000 0.5000 0.0000
0.7198 0.0390 0.7588
0.0390 0.7198 0.7588
0.9610 0.9610 0.2412
0.2802 0.2802 0.2412
```

Values from the calculation:
energy above the most stable polymorph in this dataset: 0.000 eV per atom
calculated volume: 36.450 Å³ per atom
DOS at the Fermi energy: 1.5255 states/eV/atom
DFT formation energy: 238 meV/atom